Entry 1:
## SrGaAg2Ge (PBE)

Data for SrGaAg2Ge after structural relaxation.

Structure (POSCAR):
```
SrGaAg2Ge
1.0
-2.157 2.264 5.739
2.157 -2.264 5.739
2.157 2.264 -5.739
Sr Ga Ag Ge
1 1 2 1
Direct
0.000 0.000 0.000
0.250 0.750 0.500
0.613 0.613 0.000
0.769 0.269 0.500
0.386 0.386 0.000
```

Total moment in μB per cell: 0.00
E_tot in eV per atom: -3.32
Energy relative to the elements in eV/atom: -0.31
SG: Imm2 (44)

***

Entry 2:
## SrGaAgGe2 (PBE)

Data for SrGaAgGe2 after structural relaxation.

Structure (POSCAR):
```
SrGaAgGe2
1.0
-2.274 2.274 5.408
2.274 -2.274 5.408
2.274 2.274 -5.408
Sr Ga Ag Ge
1 1 1 2
Direct
0.000 0.000 0.000
0.750 0.250 0.500
0.250 0.750 0.500
0.383 0.383 0.000
0.617 0.617 0.000
```

Total moment in μB per cell: 0.00
E_tot in eV per atom: -3.69
Energy relative to the elements in eV/atom: -0.33
SG: I-4m2 (119)

***

Entry 3:
## SrGa2AgGe (PBE)

Data for SrGa2AgGe after structural relaxation.

Structure (POSCAR):
```
SrGa2AgGe
1.0
-2.206 2.245 5.522
2.206 -2.245 5.522
2.206 2.245 -5.522
Sr Ga Ag Ge
1 2 1 1
Direct
0.000 0.000 0.000
0.382 0.382 0.000
0.752 0.252 0.500
0.248 0.748 0.500
0.611 0.611 0.000
```

Total moment in μB per cell: 0.00
E_tot in eV per atom: -3.42
Energy relative to the elements in eV/atom: -0.38
SG: Imm2 (44)